(1)
Material: YMg3Co
Method: DFT, GGA-PBE
State: relaxed

The value obtained for the density of states at the Fermi level is 0.675 states/eV per atom. Its energy above the most stable polymorph in this dataset is 0.000 eV per atom.

The space group is P2_1/m (No. 11) and the conventional cell measures 5.2272, 5.8338 and 7.2062 Å, with angles of 90.00, 104.13 and 90.00 degrees. Symmetry generates all atoms from Y at (0.1124, 0.2500, 0.4110), Mg at (0.0000, 0.2500, 0.8901), Mg at (0.4763, 0.5035, 0.7862) and Co at (0.3373, 0.7500, 0.4664).

(2)
Material: PRu2Br
Method: DFT, GGA-PBE
State: relaxed

The value obtained for the density of states at the Fermi level is 1.044 states/eV per atom. The formation energy without anion corrections comes out at 0.52 eV/atom. Its energy above the most stable polymorph in this dataset is 0.625 eV per atom.

The space group is Immm (No. 71) and the conventional cell measures 2.9456, 5.6813 and 8.0447 Å, with angles of 90.00, 90.00 and 90.00 degrees. Symmetry generates all atoms from P at (0.0000, 0.0000, 0.0000), Ru at (0.0000, 0.5000, 0.2832) and Br at (0.0000, 0.0000, 0.5000).

(3)
Material: Ce2PuPt
Method: DFT, GGA-PBE
State: relaxed

The value obtained for the density of states at the Fermi level is 2.779 states/eV per atom. Its energy above the most stable polymorph in this dataset is 0.154 eV per atom.

The space group is P4/mmm (No. 123) and the conventional cell measures 3.6162, 3.6162 and 7.3184 Å, with angles of 90.00, 90.00 and 90.00 degrees. Symmetry generates all atoms from Ce at (0.0000, 0.0000, 0.2286), Pu at (0.5000, 0.5000, 0.5000) and Pt at (0.5000, 0.5000, 0.0000).

(4)
Material: Li2TmTl2
Method: DFT, GGA-PBE
State: relaxed

The value obtained for the density of states at the Fermi level is 0.556 states/eV per atom. Its energy above the most stable polymorph in this dataset is 0.048 eV per atom.

The space group is P4/mbm (No. 127) and the conventional cell measures 8.1157, 8.1157 and 3.3131 Å, with angles of 90.00, 90.00 and 90.00 degrees. Symmetry generates all atoms from Li at (0.1153, 0.3847, 0.0000), Tm at (0.0000, 0.0000, 0.0000) and Tl at (0.1834, 0.6834, 0.5000).

(5)
Material: Cr3Se5
Method: DFT, GGA-PBE
State: relaxed

The value obtained for the density of states at the Fermi level is 0.763 states/eV per atom. The formation energy without anion corrections comes out at 0.14 eV/atom. Its energy above the most stable polymorph in this dataset is 0.296 eV per atom.

The space group is Cmmm (No. 65) and the conventional cell measures 7.0955, 12.9003 and 3.7248 Å, with angles of 90.00, 90.00 and 90.00 degrees. Symmetry generates all atoms from Cr at (0.0000, 0.0000, 0.0000), Cr at (0.0000, 0.1967, 0.5000), Se at (0.0000, 0.5000, 0.0000), Se at (0.2283, 0.0000, 0.5000) and Se at (0.2500, 0.2500, 0.0000).

(6)
Material: TbLuAl2
Method: DFT, GGA-PBE
State: relaxed

The value obtained for the density of states at the Fermi level is 0.463 states/eV per atom. As for the total energy: -4.546 eV/atom.

The space group is P4/mmm (No. 123) and the conventional cell measures 3.5717, 3.5717 and 7.1113 Å, with angles of 90.00, 90.00 and 90.00 degrees. Symmetry generates all atoms from Tb at (0.0000, 0.0000, 0.0000), Lu at (0.0000, 0.0000, 0.5000) and Al at (0.5000, 0.5000, 0.2605).

(7)
Material: CaP2Os
Method: DFT, GGA-PBE
State: relaxed

The value obtained for the density of states at the Fermi level is 0.539 states/eV per atom. Its energy above the most stable polymorph in this dataset is 0.629 eV per atom.

The space group is P4mm (No. 99) and the conventional cell measures 3.0177, 3.0177 and 8.0673 Å, with angles of 90.00, 90.00 and 90.00 degrees. Symmetry generates all atoms from Ca at (0.0000, 0.0000, 0.0000), P at (0.0000, 0.0000, 0.4198), P at (0.5000, 0.5000, 0.7383) and Os at (0.5000, 0.5000, 0.2876).

(8)
Material: Na2PuAgBr8
Method: DFT, GGA-PBE
State: relaxed

The value obtained for the density of states at the Fermi level is 1.069 states/eV per atom. The formation energy without anion corrections comes out at -1.07 eV/atom.

The space group is P2/m (No. 10) and the conventional cell measures 6.6415, 8.8800 and 6.9297 Å, with angles of 90.00, 96.31 and 90.00 degrees. Symmetry generates all atoms from Na at (0.0000, 0.2357, 0.0000), Pu at (0.5000, 0.5000, 0.5000), Ag at (0.5000, 0.0000, 0.5000), Br at (0.2436, 0.5000, 0.1618), Br at (0.2455, 0.0000, 0.1903) and Br at (0.2771, 0.2772, 0.6470).

(9)
Material: LaAgSn
Method: DFT, GGA-PBE
State: relaxed

The value obtained for the density of states at the Fermi level is 0.744 states/eV per atom. As for the total energy: -4.339 eV/atom.

The space group is P1 (No. 1) and the conventional cell measures 4.6015, 4.9059 and 7.7535 Å, with angles of 71.64, 89.97 and 89.95 degrees. Symmetry generates all atoms from La at (0.0000, 0.0000, 0.0000), La at (0.9998, 0.2855, 0.3980), Ag at (0.4992, 0.3264, 0.6947), Ag at (0.5002, 0.4714, 0.0451), Sn at (0.4998, 0.8082, 0.3264) and Sn at (0.9986, 0.6540, 0.7198).

(10)
Material: MgMn4Re
Method: DFT, GGA-PBE
State: relaxed

The value obtained for the density of states at the Fermi level is 1.046 states/eV per atom. As for the total energy: -8.361 eV/atom.

The space group is F-43m (No. 216) and the conventional cell measures 6.6977, 6.6977 and 6.6977 Å, with angles of 90.00, 90.00 and 90.00 degrees. Symmetry generates all atoms from Mg at (0.0000, 0.0000, 0.0000), Mn at (0.1254, 0.1254, 0.6254) and Re at (0.2500, 0.2500, 0.2500).

(11)
Material: IrSe2S
Method: DFT, GGA-PBE
State: relaxed

The value obtained for the density of states at the Fermi level is 0.716 states/eV per atom. The formation energy without anion corrections comes out at 0.05 eV/atom.

The space group is R-3m (No. 166, hexagonal axes) and the conventional cell measures 3.7953, 3.7953 and 21.6899 Å, with angles of 90.00, 90.00 and 120.00 degrees. Symmetry generates all atoms from Ir at (0.0000, 0.0000, 0.0000), Se at (0.0000, 0.0000, 0.3904) and S at (0.0000, 0.0000, 0.5000).

(12)
Material: TlCr2Ir
Method: DFT, GGA-PBE
State: relaxed

The value obtained for the density of states at the Fermi level is 0.534 states/eV per atom. Its energy above the most stable polymorph in this dataset is 0.125 eV per atom.

The space group is I-4m2 (No. 119) and the conventional cell measures 4.0995, 4.0995 and 7.6939 Å, with angles of 90.00, 90.00 and 90.00 degrees. Symmetry generates all atoms from Tl at (0.0000, 0.0000, 0.0000), Cr at (0.0000, 0.0000, 0.5000), Cr at (0.0000, 0.5000, 0.7500) and Ir at (0.0000, 0.5000, 0.2500).

(13)
Material: Nd5TmSe6
Method: DFT, GGA-PBE
State: relaxed

The value obtained for the density of states at the Fermi level is 0.406 states/eV per atom. The formation energy without anion corrections comes out at -1.81 eV/atom.

The space group is C2/m (No. 12) and the conventional cell measures 7.2733, 12.6000 and 7.2560 Å, with angles of 90.00, 109.51 and 90.00 degrees. Symmetry generates all atoms from Nd at (0.0000, 0.0000, 0.0000), Nd at (0.0000, 0.1678, 0.5000), Nd at (0.0000, 0.3255, 0.0000), Tm at (0.0000, 0.5000, 0.5000), Se at (0.2382, 0.5000, 0.2529) and Se at (0.2406, 0.3400, 0.7411).

(14)
Material: ScIrRu2Cl
Method: DFT, GGA-PBE
State: relaxed

The value obtained for the density of states at the Fermi level is 1.005 states/eV per atom. The formation energy without anion corrections comes out at 1.00 eV/atom.

The space group is P4/mmm (No. 123) and the conventional cell measures 4.7131, 4.7131 and 4.7930 Å, with angles of 90.00, 90.00 and 90.00 degrees. Symmetry generates all atoms from Sc at (0.0000, 0.0000, 0.0000), Ir at (0.5000, 0.5000, 0.5000), Ru at (0.0000, 0.5000, 0.5000) and Cl at (0.5000, 0.5000, 0.0000).

(15)
Material: Nd5Dy12Tm2
Method: DFT, GGA-PBE
State: relaxed

The value obtained for the density of states at the Fermi level is 1.281 states/eV per atom. As for the total energy: -4.515 eV/atom.

The space group is C2/m (No. 12) and the conventional cell measures 15.6496, 9.2710 and 8.6526 Å, with angles of 90.00, 92.23 and 90.00 degrees. Symmetry generates all atoms from Nd at (0.0000, 0.0000, 0.0000), Nd at (0.2072, 0.5000, 0.5212), Nd at (0.2312, 0.0000, 0.0706), Dy at (0.0562, 0.5000, 0.8373), Dy at (0.0728, 0.0000, 0.3761), Dy at (0.1295, 0.3086, 0.1726), Dy at (0.1470, 0.1796, 0.7390) and Tm at (0.0000, 0.3276, 0.5000).

(16)
Material: Cr2TcSnH
Method: DFT, GGA-PBE
State: relaxed

The value obtained for the density of states at the Fermi level is 1.628 states/eV per atom. Its energy above the most stable polymorph in this dataset is 1.489 eV per atom.

The space group is P4/mmm (No. 123) and the conventional cell measures 4.8392, 4.8392 and 3.2340 Å, with angles of 90.00, 90.00 and 90.00 degrees. Symmetry generates all atoms from Cr at (0.0000, 0.5000, 0.0000), Tc at (0.0000, 0.0000, 0.5000), Sn at (0.5000, 0.5000, 0.0000) and H at (0.5000, 0.5000, 0.5000).

(17)
Material: RbZrMnAu2
Method: DFT, GGA-PBE
State: relaxed

The value obtained for the density of states at the Fermi level is 2.548 states/eV per atom. As for the total energy: -3.748 eV/atom.

The space group is P4/mmm (No. 123) and the conventional cell measures 4.9694, 4.9694 and 4.7462 Å, with angles of 90.00, 90.00 and 90.00 degrees. Symmetry generates all atoms from Rb at (0.0000, 0.0000, 0.0000), Zr at (0.5000, 0.5000, 0.0000), Mn at (0.0000, 0.0000, 0.5000) and Au at (0.0000, 0.5000, 0.5000).

(18)
Material: Sr2LiInRh
Method: DFT, GGA-PBE
State: relaxed

The value obtained for the density of states at the Fermi level is 0.390 states/eV per atom. Its energy above the most stable polymorph in this dataset is 0.000 eV per atom.

The space group is P4/mmm (No. 123) and the conventional cell measures 5.7819, 5.7819 and 5.2188 Å, with angles of 90.00, 90.00 and 90.00 degrees. Symmetry generates all atoms from Sr at (0.0000, 0.5000, 0.0000), Li at (0.0000, 0.0000, 0.5000), In at (0.5000, 0.5000, 0.5000) and Rh at (0.5000, 0.5000, 0.0000).

(19)
Material: RbTaSe2N
Method: DFT, GGA-PBE
State: relaxed

The value obtained for the density of states at the Fermi level is 1.139 states/eV per atom. The formation energy without anion corrections comes out at 2.37 eV/atom. Its energy above the most stable polymorph in this dataset is 2.854 eV per atom.

The space group is P4/mmm (No. 123) and the conventional cell measures 5.4468, 5.4468 and 4.0203 Å, with angles of 90.00, 90.00 and 90.00 degrees. Symmetry generates all atoms from Rb at (0.0000, 0.0000, 0.0000), Ta at (0.5000, 0.5000, 0.5000), Se at (0.0000, 0.5000, 0.0000) and N at (0.0000, 0.0000, 0.5000).

(20)
Material: DyScZnCr
Method: DFT, GGA-PBE
State: relaxed

The value obtained for the density of states at the Fermi level is 0.489 states/eV per atom. As for the total energy: -5.447 eV/atom.

The space group is F-43m (No. 216) and the conventional cell measures 6.9259, 6.9259 and 6.9259 Å, with angles of 90.00, 90.00 and 90.00 degrees. Symmetry generates all atoms from Dy at (0.0000, 0.0000, 0.0000), Sc at (0.0000, 0.0000, 0.5000), Zn at (0.2500, 0.2500, 0.7500) and Cr at (0.2500, 0.2500, 0.2500).

(21)
Material: CuSeBr
Method: DFT, GGA-PBE
State: relaxed

The value obtained for the density of states at the Fermi level is 1.011 states/eV per atom. The formation energy without anion corrections comes out at 0.00 eV/atom.

The space group is P3m1 (No. 156) and the conventional cell measures 3.6594, 3.6594 and 5.4927 Å, with angles of 90.00, 90.00 and 120.00 degrees. Symmetry generates all atoms from Cu at (0.0000, 0.0000, 0.0000), Se at (0.6667, 0.3333, 0.2329) and Br at (0.3333, 0.6667, 0.7111).

(22)
Material: Tb4Rh2N
Method: DFT, GGA-PBE
State: relaxed

The value obtained for the density of states at the Fermi level is 0.741 states/eV per atom. The formation energy without anion corrections comes out at -0.52 eV/atom.

The space group is I4/mmm (No. 139) and the conventional cell measures 4.5492, 4.5492 and 15.7068 Å, with angles of 90.00, 90.00 and 90.00 degrees. Symmetry generates all atoms from Tb at (0.0000, 0.0000, 0.1869), Tb at (0.0000, 0.5000, 0.0000), Rh at (0.0000, 0.0000, 0.3597) and N at (0.0000, 0.0000, 0.5000).

(23)
Material: Sm2EuTh
Method: DFT, GGA-PBE
State: relaxed

The value obtained for the density of states at the Fermi level is 1.707 states/eV per atom. Its energy above the most stable polymorph in this dataset is 0.057 eV per atom.

The space group is P4/mmm (No. 123) and the conventional cell measures 6.0593, 6.0593 and 3.7553 Å, with angles of 90.00, 90.00 and 90.00 degrees. Symmetry generates all atoms from Sm at (0.0000, 0.5000, 0.0000), Eu at (0.0000, 0.0000, 0.5000) and Th at (0.5000, 0.5000, 0.5000).

(24)
Material: LaPm2Ge2Pt7
Method: DFT, GGA-PBE
State: relaxed

The value obtained for the density of states at the Fermi level is 0.556 states/eV per atom. As for the total energy: -6.414 eV/atom.

The space group is C2/m (No. 12) and the conventional cell measures 5.9364, 5.8288 and 14.1766 Å, with angles of 90.00, 98.72 and 90.00 degrees. Symmetry generates all atoms from La at (0.0000, 0.0000, 0.0000), Pm at (0.1153, 0.0000, 0.3592), Ge at (0.0965, 0.5000, 0.2579), Pt at (0.0000, 0.5000, 0.0000), Pt at (0.1257, 0.5000, 0.4308) and Pt at (0.1893, 0.2508, 0.8391).

(25)
Material: Pr5Tl2Ga
Method: DFT, GGA-PBE
State: relaxed

The value obtained for the density of states at the Fermi level is 0.865 states/eV per atom. Its energy above the most stable polymorph in this dataset is 0.000 eV per atom.

The space group is Pbam (No. 55) and the conventional cell measures 6.9935, 13.4261 and 5.2833 Å, with angles of 90.00, 90.00 and 90.00 degrees. Symmetry generates all atoms from Pr at (0.0000, 0.0000, 0.0000), Pr at (0.1306, 0.2818, 0.0000), Pr at (0.1667, 0.5900, 0.5000), Tl at (0.1195, 0.8450, 0.5000) and Ga at (0.0000, 0.5000, 0.0000).

(26)
Material: AlV2Ni7
Method: DFT, GGA-PBE
State: relaxed

The value obtained for the density of states at the Fermi level is 1.136 states/eV per atom. As for the total energy: -5.858 eV/atom.

The space group is Cmmm (No. 65) and the conventional cell measures 6.2897, 12.2491 and 3.7333 Å, with angles of 90.00, 90.00 and 90.00 degrees. Symmetry generates all atoms from Al at (0.0000, 0.0000, 0.0000), V at (0.0000, 0.2992, 0.5000), Ni at (0.0000, 0.1966, 0.0000), Ni at (0.0000, 0.5000, 0.5000) and Ni at (0.1866, 0.1021, 0.5000).